1.
The following is a PBE calculation of a geometry-optimized NdTh2Ir structure, from the Alexandria database.

Cell and atoms, written as POSCAR:
```
NdTh2Ir
1.0
3.916 0.000 0.000
-1.958 3.392 0.000
0.000 0.000 31.025
Nd Th Ir
3 6 3
direct
0.000 0.000 0.000
0.333 0.667 0.667
0.667 0.333 0.333
0.000 0.000 0.112
0.000 0.000 0.888
0.333 0.667 0.555
0.333 0.667 0.779
0.667 0.333 0.221
0.667 0.333 0.445
0.000 0.000 0.500
0.333 0.667 0.167
0.667 0.333 0.833
```

Summary:
ΔE to the lowest computed polymorph (kJ/mol of formula units): 127
Energy (eV/atom): -7.276

2.
The following is a PBE calculation of a geometry-optimized NdTh2Ir structure, from the Alexandria database.

Cell and atoms, written as POSCAR:
```
NdTh2Ir
1.0
4.014 0.000 0.000
-2.007 3.477 0.000
0.000 0.000 27.461
Nd Th Ir
3 6 3
direct
0.000 0.000 0.000
0.333 0.667 0.667
0.667 0.333 0.333
0.000 0.000 0.227
0.000 0.000 0.439
0.333 0.667 0.106
0.333 0.667 0.894
0.667 0.333 0.561
0.667 0.333 0.773
0.000 0.000 0.834
0.333 0.667 0.501
0.667 0.333 0.167
```

Summary:
ΔE to the lowest computed polymorph (kJ/mol of formula units): 41
Energy (eV/atom): -7.499

3.
The following is a PBE calculation of a geometry-optimized NdThIr structure, from the Alexandria database.

Cell and atoms, written as POSCAR:
```
NdThIr
1.0
12.328 0.000 0.000
0.000 5.467 0.000
-2.583 0.000 5.423
Nd Th Ir
4 4 4
direct
0.136 0.000 0.444
0.364 0.500 0.556
0.636 0.500 0.444
0.864 0.000 0.556
0.129 0.500 0.896
0.371 0.000 0.104
0.629 0.000 0.896
0.871 0.500 0.104
0.112 0.000 0.927
0.388 0.500 0.073
0.612 0.500 0.927
0.888 0.000 0.073
```

Summary:
ΔE to the lowest computed polymorph (kJ/mol of formula units): 0
Energy (eV/atom): -7.558

Q: The lowest energy belongs to which entry?
A: NdThIr

Q: Number 1 is which compound?
A: NdTh2Ir

Q: Which value of ΔE to the lowest computed polymorph does entry 2 give?
A: 41 kJ/mol of formula units

Q: What is the ΔE to the lowest computed polymorph in the second record?
A: 41 kJ/mol of formula units